#one
# KBaS2N

A geometry-optimized KBaS2N structure (PBE, Alexandria).

Summary:
The space group is P4/mmm, No. 123. Its spin magnetization is 4.0 μB per cell. As for the crystal system: tetragonal.

Structure (POSCAR):
```
KBaS2N
1.0
5.630 0.000 0.000
0.000 5.630 0.000
0.000 0.000 4.900
K S N Ba
1 2 1 1
direct
0.000 0.000 0.000
0.500 0.000 0.000
0.000 0.500 0.000
0.000 0.000 0.500
0.500 0.500 0.500
```


#two
# KBaS2N

A geometry-optimized KBaS2N structure (PBE, Alexandria).

Summary:
The space group is P4/mmm, No. 123. Its spin magnetization is 4.0 μB per cell. As for the crystal system: tetragonal.

Structure (POSCAR):
```
KBaS2N
1.0
5.996 0.000 0.000
0.000 5.996 0.000
0.000 0.000 5.388
K S Ba N
1 2 1 1
direct
0.500 0.500 0.500
0.000 0.500 0.000
0.500 0.000 0.000
0.000 0.000 0.000
0.000 0.000 0.500
```


#two comes first in stability; the runner-up is 126 meV per atom higher.